Crystalline CaPm3Pt2 at its relaxed geometry, computed with PBE.

a b c (Å): 7.0184 7.2981 8.6514
angles (deg): 114.95 113.93 90.00
With the nearest neighbours (Å) after each atom.
Element x y z (fractional)
Pt 0.8478 0.1401 0.2801  1 Ca 2.84, 6 Pm 2.92-3.05
Ca 0.0000 0.0000 0.0000  2 Pt 2.84
Pm 0.2354 0.4854 0.4708  4 Pt 2.92-3.05
Pt 0.1522 0.8599 0.7199  1 Ca 2.84, 6 Pm 2.92-3.05
Ca 0.0000 0.5000 0.0000  2 Pt 2.84
Pm 0.7646 0.5146 0.5292  4 Pt 2.92-3.05
Pt 0.5677 0.3599 0.7199  1 Ca 2.84, 6 Pm 2.92-3.05
Pm 0.5000 0.7500 0.0000  4 Pt 3.05
Pt 0.4323 0.6401 0.2801  1 Ca 2.84, 6 Pm 2.92-3.05
Pm 0.5000 0.2500 0.0000  4 Pt 3.05
Pm 0.2354 0.9854 0.4708  4 Pt 2.92-3.05
Pm 0.7646 0.0146 0.5292  4 Pt 2.92-3.05

Values from the calculation:
Density of states at the Fermi level = 9.79 states/eV per cell
Magnetic moment = 0.00 μB per atom
ΔE to the lowest computed polymorph = 40 meV/atom
Formation energy from the elements = -788 meV/atom
Space-group type = No. 72


Crystalline CaMo3Br at its relaxed geometry, computed with PBE.

a b c (Å): 4.7930 4.7930 4.7930
angles (deg): 90.00 90.00 90.00
With the nearest neighbours (Å) after each atom.
Element x y z (fractional)
Br 0.5000 0.5000 0.5000  12 Mo 3.39
Mo 0.5000 0.0000 0.0000  2 Ca 2.40
Mo 0.0000 0.5000 0.0000  2 Ca 2.40
Ca 0.0000 0.0000 0.0000  6 Mo 2.40
Mo 0.0000 0.0000 0.5000  2 Ca 2.40

Values from the calculation:
Density of states at the Fermi level = 8.27 states/eV per cell
Magnetic moment = 0.00 μB per atom
ΔE to the lowest computed polymorph = 1614 meV/atom
Space-group type = No. 221


Crystalline AcPuPd at its relaxed geometry, computed with PBE.

a b c (Å): 3.7406 3.7406 6.7348
angles (deg): 106.12 106.12 90.00
With the nearest neighbours (Å) after each atom.
Element x y z (fractional)
Ac 0.0229 0.0229 0.0459  4 Pd 3.26, 1 Pu 3.44
Pu 0.3008 0.3008 0.6016  4 Pd 3.06
Pd 0.6762 0.6762 0.3525  4 Pu 3.06, 4 Ac 3.26

Values from the calculation:
Density of states at the Fermi level = 11.17 states/eV per cell
Magnetic moment = 2.13 μB per atom
ΔE to the lowest computed polymorph = 0 meV/atom
Formation energy from the elements = -238 meV/atom
Space-group type = No. 107